[1]
Crystalline KHg2SI at its relaxed geometry, computed with PBE.

The structure belongs to space group P4/mmm (No. 123); the cell edges are 5.2677, 5.2677 and 6.4366 Å and the angles 90.00°, 90.00° and 90.00°. The asymmetric unit holds K at (0.0000, 0.0000, 0.0000), Hg at (0.0000, 0.5000, 0.5000), S at (0.0000, 0.0000, 0.5000) and I at (0.5000, 0.5000, 0.0000).

The electronic total energy is -2.00 eV/atom. The density is 5571 kg/m3. Its uncorrected formation energy is -0.53 eV per atom. The crystal system is tetragonal.



[2]
Crystalline KHgSbI2 at its relaxed geometry, computed with PBE.

The structure belongs to space group P4/mmm (No. 123); the cell edges are 6.3923, 6.3923 and 5.5495 Å and the angles 90.00°, 90.00° and 90.00°. The asymmetric unit holds K at (0.0000, 0.0000, 0.0000), Hg at (0.5000, 0.5000, 0.5000), Sb at (0.5000, 0.5000, 0.0000) and I at (0.0000, 0.5000, 0.5000).

The value obtained for the relative energy among the computed polymorphs is 0 meV/atom. The electronic total energy is -1.96 eV/atom. The density is 4505 kg/m3. Its uncorrected formation energy is -0.23 eV per atom. The crystal system is tetragonal.



[3]
Crystalline KHgSbI2 at its relaxed geometry, computed with PBE.

The structure belongs to space group P4/mmm (No. 123); the cell edges are 6.5716, 6.5716 and 7.3621 Å and the angles 90.00°, 90.00° and 90.00°. The asymmetric unit holds K at (0.0000, 0.0000, 0.0000), Hg at (0.5000, 0.5000, 0.5000), Sb at (0.0000, 0.0000, 0.5000) and I at (0.0000, 0.5000, 0.0000).

The value obtained for the relative energy among the computed polymorphs is 442 meV/atom. The electronic total energy is -1.52 eV/atom. The density is 3213 kg/m3. Its uncorrected formation energy is 0.21 eV per atom. The crystal system is tetragonal.



[4]
Crystalline K2ScHgI6 at its relaxed geometry, computed with PBE.

The structure belongs to space group R3 (No. 146, hexagonal axes); the cell edges are 8.4960, 8.4960 and 20.9173 Å and the angles 90.00°, 90.00° and 120.00°. The asymmetric unit holds K at (0.0000, 0.0000, 0.0000), K at (0.0000, 0.0000, 0.4844), Sc at (0.0000, 0.0000, 0.7824), Hg at (0.0000, 0.0000, 0.2727), I at (0.0351, 0.6205, 0.5329) and I at (0.0848, 0.3583, 0.3718).

The electronic total energy is -2.87 eV/atom. The density is 4134 kg/m3. Its uncorrected formation energy is -1.06 eV per atom. The crystal system is trigonal.



[5]
Crystalline K2ScHgI at its relaxed geometry, computed with PBE.

The structure belongs to space group P4/mmm (No. 123); the cell edges are 7.1499, 7.1499 and 5.6202 Å and the angles 90.00°, 90.00° and 90.00°. The asymmetric unit holds K at (0.0000, 0.5000, 0.0000), Sc at (0.0000, 0.0000, 0.0000), Hg at (0.5000, 0.5000, 0.5000) and I at (0.0000, 0.0000, 0.5000).

The electronic total energy is -1.98 eV/atom. The density is 2605 kg/m3. Its uncorrected formation energy is 0.10 eV per atom. The crystal system is tetragonal.



[6]
Crystalline KHg2SeI at its relaxed geometry, computed with PBE.

The structure belongs to space group P4/mmm (No. 123); the cell edges are 5.4336, 5.4336 and 6.6338 Å and the angles 90.00°, 90.00° and 90.00°. The asymmetric unit holds K at (0.0000, 0.0000, 0.0000), Hg at (0.0000, 0.5000, 0.5000), Se at (0.0000, 0.0000, 0.5000) and I at (0.5000, 0.5000, 0.0000).

The electronic total energy is -1.91 eV/atom. The density is 5478 kg/m3. Its uncorrected formation energy is -0.57 eV per atom. The crystal system is tetragonal.



[7]
Crystalline KSnHgI3 at its relaxed geometry, computed with PBE.

The structure belongs to space group C2/m (No. 12); the cell edges are 16.4043, 6.2492 and 10.4169 Å and the angles 90.00°, 95.65° and 90.00°. The asymmetric unit holds K at (0.1339, 0.0000, 0.3795), Sn at (0.0884, 0.5000, 0.8350), Hg at (0.2282, 0.0000, 0.0550), I at (0.0754, 0.0000, 0.8000), I at (0.1015, 0.5000, 0.1661) and I at (0.1438, 0.5000, 0.5608).

The electronic total energy is -2.37 eV/atom. The density is 4620 kg/m3. Its uncorrected formation energy is -0.69 eV per atom. The crystal system is monoclinic.



[8]
Crystalline KSnHgI2 at its relaxed geometry, computed with PBE.

The structure belongs to space group P4/mmm (No. 123); the cell edges are 6.3443, 6.3443 and 5.7678 Å and the angles 90.00°, 90.00° and 90.00°. The asymmetric unit holds K at (0.0000, 0.0000, 0.0000), Sn at (0.5000, 0.5000, 0.5000), Hg at (0.5000, 0.5000, 0.0000) and I at (0.0000, 0.5000, 0.5000).

The electronic total energy is -2.25 eV/atom. The density is 4379 kg/m3. Its uncorrected formation energy is -0.55 eV per atom. The crystal system is tetragonal.



[9]
Crystalline KSrHgI5 at its relaxed geometry, computed with PBE.

The structure belongs to space group C2/c (No. 15); the cell edges are 10.6922, 13.8823 and 11.7239 Å and the angles 90.00°, 114.69° and 90.00°. The asymmetric unit holds K at (0.0000, 0.1518, 0.2500), Sr at (0.0000, 0.5000, 0.0000), Hg at (0.0000, 0.1790, 0.7500), I at (0.0000, 0.4044, 0.2500), I at (0.1319, 0.2868, 0.6246) and I at (0.1750, 0.0520, 0.9467).

The electronic total energy is -2.46 eV/atom. The density is 4041 kg/m3. Its uncorrected formation energy is -1.10 eV per atom. The crystal system is monoclinic.



[10]
Crystalline K2HgTeI at its relaxed geometry, computed with PBE.

The structure belongs to space group P4/mmm (No. 123); the cell edges are 6.7180, 6.7180 and 5.6866 Å and the angles 90.00°, 90.00° and 90.00°. The asymmetric unit holds K at (0.0000, 0.5000, 0.0000), Hg at (0.0000, 0.0000, 0.5000), Te at (0.0000, 0.0000, 0.0000) and I at (0.5000, 0.5000, 0.5000).

The electronic total energy is -2.26 eV/atom. The density is 3451 kg/m3. Its uncorrected formation energy is -0.82 eV per atom. The crystal system is tetragonal.



[11]
Crystalline KHgTe2I at its relaxed geometry, computed with PBE.

The structure belongs to space group P4/mmm (No. 123); the cell edges are 5.6199, 5.6199 and 6.6656 Å and the angles 90.00°, 90.00° and 90.00°. The asymmetric unit holds K at (0.0000, 0.0000, 0.0000), Hg at (0.5000, 0.5000, 0.5000), Te at (0.0000, 0.5000, 0.5000) and I at (0.5000, 0.5000, 0.0000).

The value obtained for the relative energy among the computed polymorphs is 0 meV/atom. The electronic total energy is -2.04 eV/atom. The density is 4905 kg/m3. Its uncorrected formation energy is -0.19 eV per atom. The crystal system is tetragonal.



[12]
Crystalline KHg2TeI8 at its relaxed geometry, computed with PBE.

The structure belongs to space group P-1 (No. 2); the cell edges are 7.5021, 8.3487 and 9.9089 Å and the angles 81.12°, 76.82° and 89.17°. The asymmetric unit holds K at (0.0000, 0.0000, 0.0000), Hg at (0.4930, 0.4405, 0.7115), Te at (0.0000, 0.0000, 0.5000), I at (0.1864, 0.8200, 0.7039), I at (0.2690, 0.8845, 0.2675), I at (0.2704, 0.3582, 0.9665) and I at (0.2728, 0.3543, 0.4920).

The electronic total energy is -1.81 eV/atom. The density is 4404 kg/m3. Its uncorrected formation energy is -0.37 eV per atom. The crystal system is triclinic.